# AcFe2Bi2O7 | Alexandria via LeMat-Bulk | GGA+U | relaxed
data_AcFe2Bi2O7
_space_group_name_H-M_alt 'P 1'
_space_group_IT_number 1
_cell_length_a 3.6493
_cell_length_b 5.3935
_cell_length_c 9.6973
_cell_angle_alpha 106.15
_cell_angle_beta 100.85
_cell_angle_gamma 90.00
loop_
_space_group_symop_operation_xyz
'x,y,z'
loop_
_atom_site_label
_atom_site_type_symbol
_atom_site_fract_x
_atom_site_fract_y
_atom_site_fract_z
_atom_site_occupancy
O1 O 0.4146 0.8065 0.8291 1
Ac1 Ac 0.0000 0.0836 0.0000 1
O2 O 0.5854 0.9773 0.1709 1
Fe1 Fe 0.3965 0.4283 0.7929 1
O3 O 0.1223 0.4783 0.2447 1
Fe2 Fe 0.6035 0.6353 0.2071 1
O4 O 0.7198 0.8699 0.4396 1
O5 O 0.8777 0.2336 0.7553 1
Bi1 Bi 0.6976 0.2714 0.3952 1
Bi2 Bi 0.3024 0.8763 0.6048 1
O6 O 0.2802 0.4303 0.5604 1
O7 O 0.5000 0.4088 0.0000 1
# Calculated density ... 8.02 g/cm3
# E ... -6.461 eV/atom
# DOS(E_F) ... 2.045 states/eV/cell
# Space-group type ... Imm2 (44)

=====

# AcFe2BiO8 | Alexandria via LeMat-Bulk | GGA+U | relaxed
data_AcFe2BiO8
_space_group_name_H-M_alt 'P 1'
_space_group_IT_number 1
_cell_length_a 5.4801
_cell_length_b 5.4801
_cell_length_c 7.1613
_cell_angle_alpha 90.00
_cell_angle_beta 90.00
_cell_angle_gamma 120.00
loop_
_space_group_symop_operation_xyz
'x,y,z'
loop_
_atom_site_label
_atom_site_type_symbol
_atom_site_fract_x
_atom_site_fract_y
_atom_site_fract_z
_atom_site_occupancy
Fe1 Fe 0.6667 0.3333 0.2576 1
Ac1 Ac 0.0000 0.0000 0.0000 1
Bi1 Bi 0.0000 0.0000 0.5000 1
O1 O 0.9657 0.6917 0.3029 1
O2 O 0.6667 0.3333 0.0158 1
O3 O 0.2740 0.9657 0.6971 1
O4 O 0.0343 0.3083 0.6971 1
O5 O 0.6917 0.7260 0.6971 1
O6 O 0.3333 0.6667 0.9842 1
O7 O 0.3083 0.2740 0.3029 1
Fe2 Fe 0.3333 0.6667 0.7424 1
O8 O 0.7260 0.0343 0.3029 1
# Calculated density ... 6.02 g/cm3
# E ... -6.207 eV/atom
# DOS(E_F) ... 3.928 states/eV/cell
# Space-group type ... P-3 (147)

=====

# AcFeBiO4 | Alexandria via LeMat-Bulk | GGA+U | relaxed
data_AcFeBiO4
_space_group_name_H-M_alt 'P 1'
_space_group_IT_number 1
_cell_length_a 5.7458
_cell_length_b 6.0804
_cell_length_c 7.4120
_cell_angle_alpha 90.00
_cell_angle_beta 114.41
_cell_angle_gamma 90.00
loop_
_space_group_symop_operation_xyz
'x,y,z'
loop_
_atom_site_label
_atom_site_type_symbol
_atom_site_fract_x
_atom_site_fract_y
_atom_site_fract_z
_atom_site_occupancy
O1 O 0.0505 0.4959 0.2240 1
O2 O 0.3438 0.7500 0.6134 1
O3 O 0.0505 0.0041 0.2240 1
O4 O 0.5385 0.2500 0.8631 1
O5 O 0.6562 0.2500 0.3866 1
O6 O 0.9495 0.5041 0.7760 1
O7 O 0.4615 0.7500 0.1369 1
Bi1 Bi 0.9437 0.7500 0.5682 1
Fe1 Fe 0.6774 0.2500 0.6688 1
O8 O 0.9495 0.9959 0.7760 1
Ac1 Ac 0.7195 0.7500 0.9603 1
Fe2 Fe 0.3226 0.7500 0.3312 1
Ac2 Ac 0.2805 0.2500 0.0397 1
Bi2 Bi 0.0563 0.2500 0.4318 1
# Calculated density ... 7.83 g/cm3
# E ... -6.715 eV/atom
# DOS(E_F) ... 0.000 states/eV/cell
# Space-group type ... P2_1/m (11)